# 1
{
  "formula": "Mg2AlIr",
  "functional": "PBE",
  "state": "relaxed",
  "cell": [[3.285, 0.000, 0.000], [0.000, 3.285, 0.000], [0.000, 0.000, 6.182]],
  "species": ["Ir", "Al", "Mg", "Mg"],
  "frac_coords": [[0.500, 0.500, 0.750], [0.500, 0.500, 0.250], [0.000, 0.000, 0.976], [0.000, 0.000, 0.524]],
  "dos_at_fermi_per_ev_cell": 1.07,
  "total_energy_ev_per_atom": -4.180,
  "space_group": "P4/mmm (123)",
  "delta_e_f_ev_per_atom": -0.2321
}



# 2
{
  "formula": "MgMn2AlIr",
  "functional": "PBE",
  "state": "relaxed",
  "cell": [[4.399, 0.000, 0.000], [0.000, 4.600, 0.000], [0.000, 0.000, 4.399]],
  "species": ["Ir", "Al", "Mg", "Mn", "Mn"],
  "frac_coords": [[0.500, 0.500, 0.500], [0.000, 0.500, 0.000], [0.000, 0.000, 0.000], [0.000, 0.000, 0.500], [0.500, 0.000, 0.000]],
  "dos_at_fermi_per_ev_cell": 4.60,
  "total_energy_ev_per_atom": -4.998,
  "space_group": "P4/mmm (123)",
  "delta_e_f_ev_per_atom": 1.5098
}



# 3
{
  "formula": "MgAlNiIr",
  "functional": "PBE",
  "state": "relaxed",
  "cell": [[-4.056, 0.937, 0.915], [-2.850, -3.130, 0.495], [-1.566, -0.864, 3.869]],
  "species": ["Mg", "Ir", "Ni", "Al"],
  "frac_coords": [[0.500, 0.500, 0.500], [0.750, 0.750, 0.750], [0.250, 0.250, 0.250], [0.000, 0.000, 0.000]],
  "dos_at_fermi_per_ev_cell": 1.13,
  "total_energy_ev_per_atom": -5.567,
  "space_group": "F-43m (216)",
  "delta_e_f_ev_per_atom": -0.5722
}



# 4
{
  "formula": "Mg2AlIrO6",
  "functional": "PBE",
  "state": "relaxed",
  "cell": [[3.766, 0.000, 0.000], [0.000, 5.562, 0.000], [0.000, 0.000, 5.562]],
  "species": ["O", "O", "O", "O", "O", "O", "Mg", "Mg", "Al", "Ir"],
  "frac_coords": [[0.725, 0.755, 0.755], [0.725, 0.245, 0.755], [0.184, 0.000, 0.000], [0.725, 0.755, 0.245], [0.725, 0.245, 0.245], [0.196, 0.500, 0.500], [0.905, 0.500, 0.000], [0.905, 0.000, 0.500], [0.667, 0.000, 0.000], [0.691, 0.500, 0.500]],
  "e_form_raw_ev_per_atom": -1.7054,
  "dos_at_fermi_per_ev_cell": 2.69,
  "total_energy_ev_per_atom": -6.260,
  "space_group": "P4mm (99)"
}



# 5
{
  "formula": "MgAlIrOs",
  "functional": "PBE",
  "state": "relaxed",
  "cell": [[-4.261, 0.543, -0.525], [-2.744, -3.122, 1.205], [-2.549, 0.573, 3.449]],
  "species": ["Os", "Mg", "Ir", "Al"],
  "frac_coords": [[0.250, 0.250, 0.250], [0.500, 0.500, 0.500], [0.750, 0.750, 0.750], [0.000, 0.000, 0.000]],
  "dos_at_fermi_per_ev_cell": 3.01,
  "total_energy_ev_per_atom": -6.650,
  "space_group": "F-43m (216)",
  "delta_e_f_ev_per_atom": -0.2935
}



# 6
{
  "formula": "Mg2AlP2Ir5",
  "functional": "PBE",
  "state": "relaxed",
  "cell": [[3.397, 0.000, 0.000], [0.000, 9.362, 0.000], [0.000, 0.000, 9.362]],
  "species": ["Ir", "Ir", "Ir", "Ir", "Ir", "Ir", "Ir", "Ir", "Ir", "Ir", "Mg", "Mg", "Mg", "Mg", "P", "P", "P", "P", "Al", "Al"],
  "frac_coords": [[0.500, 0.927, 0.207], [0.500, 0.500, 0.000], [0.500, 0.293, 0.573], [0.500, 0.793, 0.927], [0.500, 0.000, 0.500], [0.500, 0.207, 0.073], [0.500, 0.573, 0.707], [0.500, 0.073, 0.793], [0.500, 0.427, 0.293], [0.500, 0.707, 0.427], [0.000, 0.327, 0.827], [0.000, 0.673, 0.173], [0.000, 0.827, 0.673], [0.000, 0.173, 0.327], [0.000, 0.371, 0.129], [0.000, 0.871, 0.371], [0.000, 0.629, 0.871], [0.000, 0.129, 0.629], [0.000, 0.000, 0.000], [0.000, 0.500, 0.500]],
  "dos_at_fermi_per_ev_cell": 7.07,
  "total_energy_ev_per_atom": -6.734,
  "space_group": "P4/mbm (127)",
  "delta_e_f_ev_per_atom": -0.5282
}



Copy entry 5 word for word.
{
  "formula": "MgAlIrOs",
  "functional": "PBE",
  "state": "relaxed",
  "cell": [[-4.261, 0.543, -0.525], [-2.744, -3.122, 1.205], [-2.549, 0.573, 3.449]],
  "species": ["Os", "Mg", "Ir", "Al"],
  "frac_coords": [[0.250, 0.250, 0.250], [0.500, 0.500, 0.500], [0.750, 0.750, 0.750], [0.000, 0.000, 0.000]],
  "dos_at_fermi_per_ev_cell": 3.01,
  "total_energy_ev_per_atom": -6.650,
  "space_group": "F-43m (216)",
  "delta_e_f_ev_per_atom": -0.2935
}